# TaMn2RhC

A geometry-optimized TaMn2RhC structure (GGA-PBE, the Alexandria database).

Its raw total energy is -9.51 eV/atom. For the density of states at the Fermi level, the calculation gives 1.01 states/eV/atom.

The structure belongs to space group P4/mmm (No. 123); the cell edges are 3.8354, 3.8354 and 4.2800 Å and the angles 90.00°, 90.00° and 90.00°. Symmetry generates all atoms from Ta at (0.0000, 0.0000, 0.0000), Mn at (0.0000, 0.5000, 0.5000), Rh at (0.5000, 0.5000, 0.0000) and C at (0.0000, 0.0000, 0.5000).